# 1
First-principles (PBE) data for a relaxed HoTiGaIr2 crystal, as listed in Alexandria.

Calculated values
Size of the total moment (μB per formula unit): 0.00
DFT formation energy (eV/f.u.): -4.049
Electronic total energy (eV/cell): -37.27
Space group: I-4m2, No. 119

Structure (POSCAR):
```
HoTiGaIr2
1.0
-1.9824 -2.0783 -2.7536
2.8697 0.7693 -2.6466
2.3752 -4.2103 4.3424
Ho Ti Ga Ir
1 1 1 2
Cartesian
0.0000 0.0000 0.0000 Ho
0.4182 -3.4715 -0.5557 Ti
2.8442 -2.0477 -0.5022 Ga
1.0724 -1.7397 -2.3338 Ir
2.1900 -3.7795 1.2759 Ir
```

=====

# 2
First-principles (PBE) data for a relaxed TlBi2Pd2 crystal, as listed in Alexandria.

Calculated values
Offset from the most stable computed form (eV/atom): 0.103
Size of the total moment (μB per formula unit): 0.00
DFT formation energy (eV/f.u.): -0.444
Electronic total energy (eV/cell): -41.92
Space group: P4/mbm, No. 127

Structure (POSCAR):
```
TlBi2Pd2
1.0
-7.8696 1.5761 2.9868
-0.0908 -7.6697 3.8081
1.3027 1.3382 2.7262
Tl Bi Pd
2 4 4
Cartesian
0.0000 0.0000 0.0000 Tl
-3.9802 -3.0468 3.3974 Tl
-2.8761 -6.0018 4.3203 Bi
-6.7917 -3.5939 5.0094 Bi
-5.0842 -0.0919 2.4746 Bi
-1.1686 -2.4998 1.7854 Bi
-0.5308 -4.0360 4.2375 Pd
-4.4850 -4.8923 6.5473 Pd
-6.1268 -0.7195 5.2836 Pd
-2.1726 0.1368 2.9738 Pd
```

=====

# 3
First-principles (PBE) data for a relaxed Be4CuNi5 crystal, as listed in Alexandria.

Calculated values
Size of the total moment (μB per formula unit): 0.00
DFT formation energy (eV/f.u.): -3.783
Electronic total energy (eV/cell): -51.69
Space group: P4/mmm, No. 123

Structure (POSCAR):
```
Be4CuNi5
1.0
2.5856 0.0000 0.0000
0.0000 2.5856 0.0000
0.0000 0.0000 14.0274
Be Cu Ni
4 1 5
Cartesian
0.0000 0.0000 3.0280 Be
0.0000 0.0000 5.6870 Be
0.0000 0.0000 8.3403 Be
0.0000 0.0000 10.9994 Be
0.0000 0.0000 0.0000 Cu
1.2928 1.2928 1.7429 Ni
1.2928 1.2928 4.3776 Ni
1.2928 1.2928 7.0137 Ni
1.2928 1.2928 9.6497 Ni
1.2928 1.2928 12.2845 Ni
```

=====

# 4
First-principles (PBE) data for a relaxed SrNd2Sn crystal, as listed in Alexandria.

Calculated values
Offset from the most stable computed form (eV/atom): 0.297
Size of the total moment (μB per formula unit): 0.00
DFT formation energy (eV/f.u.): -0.105
Electronic total energy (eV/cell): -15.33
Space group: R-3m, No. 166

Structure (POSCAR):
```
SrNd2Sn
1.0
-2.1715 3.0493 0.8837
-3.4733 -0.5037 1.5738
3.0180 1.1738 11.7365
Sr Nd Sn
1 2 1
Cartesian
0.0000 0.0000 0.0000 Sr
1.5231 1.0745 8.4056 Nd
-4.1499 2.6449 5.7885 Nd
-1.3134 1.8597 7.0970 Sn
```

=====

# 5
First-principles (PBE) data for a relaxed CaEuInCu crystal, as listed in Alexandria.

Calculated values
Size of the total moment (μB per formula unit): 7.17
DFT formation energy (eV/f.u.): -0.853
Electronic total energy (eV/cell): -19.96
Space group: F-43m, No. 216

Structure (POSCAR):
```
CaEuInCu
1.0
5.3412 0.0000 0.0000
2.6706 4.6256 0.0000
2.6706 1.5419 4.3610
Eu Ca Cu In
1 1 1 1
Cartesian
0.0000 0.0000 0.0000 Eu
5.3412 3.0837 2.1805 Ca
2.6706 1.5419 1.0903 Cu
8.0118 4.6256 3.2708 In
```

=====

# 6
First-principles (PBE) data for a relaxed LiRuRh crystal, as listed in Alexandria.

Calculated values
Offset from the most stable computed form (eV/atom): 0.027
Size of the total moment (μB per formula unit): 0.00
DFT formation energy (eV/f.u.): 0.162
Electronic total energy (eV/cell): -36.76
Space group: P2_1/m, No. 11

Structure (POSCAR):
```
LiRuRh
1.0
-0.7725 -4.4179 0.2989
2.0099 -0.0895 3.8719
-3.1781 2.7314 1.7129
Ru Rh Li
2 2 2
Cartesian
-1.2212 0.6758 1.8789 Ru
-0.7196 -2.4517 4.0049 Ru
-0.4379 -1.7044 1.4172 Rh
-1.5029 -0.0715 4.4665 Rh
-2.8226 -1.3799 2.6627 Li
0.8818 -0.3960 3.2211 Li
```

=====

# 7
First-principles (PBE) data for a relaxed Zr2TlTe crystal, as listed in Alexandria.

Calculated values
Offset from the most stable computed form (eV/atom): 0.096
Size of the total moment (μB per formula unit): 0.00
Electronic total energy (eV/cell): -23.62
Space group: Cmmm, No. 65

Structure (POSCAR):
```
Zr2TlTe
1.0
5.1530 0.0099 0.0000
-0.7302 5.1010 0.0000
0.0000 0.0000 3.5136
Te Tl Zr
1 1 2
Cartesian
2.5765 0.0050 1.7568 Te
-0.3651 2.5505 1.7568 Tl
0.0000 0.0000 0.0000 Zr
2.2114 2.5555 0.0000 Zr
```

=====

# 8
First-principles (PBE) data for a relaxed Dy7CdIn5 crystal, as listed in Alexandria.

Calculated values
Size of the total moment (μB per formula unit): 0.00
DFT formation energy (eV/f.u.): -3.034
Electronic total energy (eV/cell): -49.86
Space group: Imm2, No. 44

Structure (POSCAR):
```
Dy7CdIn5
1.0
6.5269 0.0000 0.0000
3.2635 7.5195 0.1124
3.2635 0.0881 7.5198
Dy Cd In
7 1 5
Cartesian
6.5269 2.9898 2.9995 Dy
6.5269 5.7606 5.7792 Dy
3.2635 2.3155 5.0568 Dy
3.2635 5.0493 2.3318 Dy
3.2635 1.7042 1.7097 Dy
6.5269 6.0599 1.1599 Dy
6.5269 1.1403 6.0636 Dy
6.5269 0.4525 0.4540 Cd
8.2412 7.5123 3.6512 In
4.8126 7.5123 3.6512 In
8.2412 3.6269 7.5241 In
4.8126 3.6269 7.5241 In
9.7904 5.5029 5.5207 In
```

=====

# 9
First-principles (PBE) data for a relaxed Ce2ErCdC crystal, as listed in Alexandria.

Calculated values
Size of the total moment (μB per formula unit): 0.88
DFT formation energy (eV/f.u.): -1.038
Electronic total energy (eV/cell): -27.61
Space group: P4/mmm, No. 123

Structure (POSCAR):
```
Ce2ErCdC
1.0
4.9264 0.0000 0.0000
0.0000 4.9622 0.0000
0.0000 0.0000 4.9622
Ce Er Cd C
2 1 1 1
Cartesian
0.0000 0.0000 2.4811 Ce
0.0000 2.4811 0.0000 Ce
2.4632 0.0000 0.0000 Er
2.4632 2.4811 2.4811 Cd
0.0000 0.0000 0.0000 C
```

=====

# 10
First-principles (PBE) data for a relaxed BeGeAsBr2 crystal, as listed in Alexandria.

Calculated values
Offset from the most stable computed form (eV/atom): 0.491
Size of the total moment (μB per formula unit): 0.72
Electronic total energy (eV/cell): -12.63
Space group: P4/mmm, No. 123

Structure (POSCAR):
```
BeGeAsBr2
1.0
5.1936 0.0000 0.0000
0.0000 5.1936 0.0000
0.0000 0.0000 5.2556
Be As Ge Br
1 1 1 2
Cartesian
2.5968 2.5968 2.6278 Be
0.0000 0.0000 2.6278 As
0.0000 0.0000 0.0000 Ge
0.0000 2.5968 0.0000 Br
2.5968 0.0000 0.0000 Br
```

=====

# 11
First-principles (PBE) data for a relaxed BeTe2P crystal, as listed in Alexandria.

Calculated values
Offset from the most stable computed form (eV/atom): 0.445
Size of the total moment (μB per formula unit): 0.00
Electronic total energy (eV/cell): -13.52
Space group: R-3m, No. 166

Structure (POSCAR):
```
BeTe2P
1.0
2.2106 0.0000 7.9160
-1.1053 1.9144 7.9160
-1.1053 -1.9144 7.9160
P Te Be
1 2 1
Cartesian
0.0000 0.0000 0.0000 P
0.0000 0.0000 21.1863 Te
0.0000 0.0000 2.5619 Te
0.0000 0.0000 11.8741 Be
```

=====

# 12
First-principles (PBE) data for a relaxed YHf2PO crystal, as listed in Alexandria.

Calculated values
Size of the total moment (μB per formula unit): 0.00
Electronic total energy (eV/cell): -36.95
Space group: P4/mmm, No. 123

Structure (POSCAR):
```
YHf2PO
1.0
5.2448 0.0000 0.0000
0.0000 3.7052 0.0000
0.0000 0.0000 5.2448
Y P Hf O
1 1 2 1
Cartesian
2.6224 1.8526 2.6224 Y
0.0000 0.0000 0.0000 P
0.0000 0.0000 2.6224 Hf
2.6224 0.0000 0.0000 Hf
0.0000 1.8526 0.0000 O
```

=====

# 13
First-principles (PBE) data for a relaxed Na3SiTc crystal, as listed in Alexandria.

Calculated values
Offset from the most stable computed form (eV/atom): 0.284
Size of the total moment (μB per formula unit): 3.09
Electronic total energy (eV/cell): -11.77
Space group: Pm-3m, No. 221

Structure (POSCAR):
```
Na3SiTc
1.0
5.5137 0.0000 0.0000
0.0000 5.5137 0.0000
0.0000 0.0000 5.5137
Na Si Tc
3 1 1
Cartesian
0.0000 2.7568 0.0000 Na
0.0000 0.0000 2.7568 Na
2.7568 0.0000 0.0000 Na
2.7568 2.7568 2.7568 Si
0.0000 0.0000 0.0000 Tc
```